# 1
Material: DySi2Ni4
Method: DFT, PBE
State: optimized geometry

```
DySi2Ni4
1.0
3.9467 0.0000 0.0000
0.0000 6.0750 0.0000
0.0000 0.0000 15.9729
Ni Si Dy
16 8 4
Direct
0.2500 0.0076 0.9280
0.7500 0.8539 0.4749
0.2500 0.2188 0.1984
0.7500 0.9924 0.0720
0.2500 0.8184 0.1878
0.7500 0.1816 0.8122
0.2500 0.3539 0.0251
0.2500 0.4924 0.4280
0.7500 0.5076 0.5720
0.7500 0.3184 0.3122
0.2500 0.2812 0.6984
0.2500 0.6816 0.6878
0.7500 0.6461 0.9749
0.7500 0.7188 0.3016
0.7500 0.7812 0.8016
0.2500 0.1461 0.5251
0.2500 0.9776 0.7827
0.2500 0.7617 0.0405
0.7500 0.0224 0.2173
0.7500 0.2617 0.4595
0.7500 0.4776 0.7173
0.7500 0.2383 0.9595
0.2500 0.5224 0.2827
0.2500 0.7383 0.5405
0.2500 0.4957 0.8605
0.7500 0.5043 0.1395
0.7500 0.9957 0.6395
0.2500 0.0043 0.3605
```

Calculated values
As for the energy relative to the elements, uncorrected: -0.579 eV/atom. The value obtained for the volume is 13.68 Å³/atom.

=====

# 2
Material: DySi4Ni4
Method: DFT, PBE
State: optimized geometry

```
DySi4Ni4
1.0
5.6347 0.0000 0.0000
0.0000 5.6347 0.0000
0.0000 0.0000 7.7946
Ni Dy Si
8 2 8
Direct
0.7735 0.5000 0.8855
0.5000 0.2265 0.1145
0.0000 0.2735 0.3855
0.0000 0.7265 0.3855
0.2265 0.5000 0.8855
0.7265 0.0000 0.6145
0.2735 0.0000 0.6145
0.5000 0.7735 0.1145
0.5000 0.5000 0.5000
0.0000 0.0000 0.0000
0.0000 0.7110 0.6799
0.5000 0.7890 0.8201
0.2110 0.5000 0.1799
0.0000 0.2890 0.6799
0.2890 0.0000 0.3201
0.7890 0.5000 0.1799
0.7110 0.0000 0.3201
0.5000 0.2110 0.8201
```

Calculated values
As for the energy relative to the elements, uncorrected: -0.603 eV/atom. The value obtained for the volume is 13.75 Å³/atom.

=====

# 3
Material: DySi2Ni2
Method: DFT, PBE
State: optimized geometry

```
DySi2Ni2
1.0
-1.2534 -2.7239 2.5112
-2.3085 -1.4992 -2.7785
3.6510 -2.9893 -1.4203
Ni Si Dy
2 2 1
Direct
0.0000 0.5000 0.5000
0.5000 0.0000 0.5000
0.5000 0.5000 0.7594
0.5000 0.5000 0.2406
0.0000 0.0000 0.0000
```

Calculated values
As for the energy relative to the elements, uncorrected: -0.787 eV/atom. The value obtained for the volume is 15.08 Å³/atom.

=====

# 4
Material: Dy3Si2Ni3
Method: DFT, PBE
State: optimized geometry

```
Dy3Si2Ni3
1.0
-1.4330 -5.2800 -0.8838
3.9445 -2.0370 5.7740
-11.4752 1.7017 8.4397
Si Dy Ni
8 12 12
Direct
0.6424 0.6315 0.4013
0.8576 0.1315 0.0987
0.1424 0.8685 0.9013
0.1424 0.8685 0.5987
0.8576 0.1315 0.4013
0.3576 0.3685 0.9013
0.6424 0.6315 0.0987
0.3576 0.3685 0.5987
0.1443 0.4754 0.1083
0.8557 0.5246 0.6083
0.6443 0.0246 0.6083
0.3557 0.9754 0.3917
0.8793 0.8415 0.2500
0.8557 0.5246 0.8917
0.3793 0.6585 0.7500
0.3557 0.9754 0.1083
0.1443 0.4754 0.3917
0.1207 0.1585 0.7500
0.6443 0.0246 0.8917
0.6207 0.3415 0.2500
0.4175 0.6900 0.2500
0.4061 0.6619 0.9640
0.9175 0.8100 0.7500
0.0825 0.1900 0.2500
0.0939 0.1619 0.5360
0.9061 0.8381 0.4640
0.4061 0.6619 0.5360
0.5939 0.3381 0.4640
0.9061 0.8381 0.0360
0.0939 0.1619 0.9640
0.5825 0.3100 0.7500
0.5939 0.3381 0.0360
```

Calculated values
As for the energy relative to the elements, uncorrected: -0.719 eV/atom. The value obtained for the volume is 18.10 Å³/atom.

=====

# 5
Material: Dy2Si3Ni2
Method: DFT, PBE
State: optimized geometry

```
Dy2Si3Ni2
1.0
3.9924 0.0000 0.0000
-1.9962 5.0003 -0.2096
0.0000 -2.5633 5.8096
Si Ni Dy
3 2 2
Direct
0.5000 0.0000 0.0000
0.6131 0.2263 0.4381
0.3869 0.7737 0.5619
0.8621 0.7242 0.7525
0.1379 0.2758 0.2475
0.1493 0.2986 0.7801
0.8507 0.7014 0.2199
```

Calculated values
As for the energy relative to the elements, uncorrected: -0.678 eV/atom. The value obtained for the volume is 16.26 Å³/atom. The value obtained for the offset from the most stable computed form is 0.119 eV per atom.

=====

# 6
Material: DySi2Ni6
Method: DFT, PBE
State: optimized geometry

```
DySi2Ni6
1.0
-1.4682 -1.6959 3.2244
2.9928 -2.5438 0.0248
4.0671 4.8280 4.3913
Dy Ni Si
1 6 2
Direct
0.0000 0.0000 0.0000
0.0000 0.5000 0.6949
0.5000 0.0000 0.6949
0.0000 0.0000 0.5000
0.0000 0.5000 0.3051
0.5000 0.0000 0.3051
0.5000 0.5000 0.5000
0.5000 0.5000 0.8404
0.5000 0.5000 0.1596
```

Calculated values
As for the energy relative to the elements, uncorrected: -0.430 eV/atom. The value obtained for the volume is 13.18 Å³/atom.

=====

# 7
Material: DySiNi3
Method: DFT, PBE
State: optimized geometry

```
DySiNi3
1.0
5.6772 0.0000 0.0000
-2.8386 4.9166 0.0000
0.0000 0.0000 10.9113
Ni Dy Si
12 4 4
Direct
0.7234 0.8617 0.7500
0.8617 0.1383 0.2500
0.5000 0.5000 0.0000
0.2766 0.1383 0.2500
0.5000 0.5000 0.5000
0.0000 0.5000 0.0000
0.5000 0.0000 0.5000
0.1383 0.8617 0.7500
0.8617 0.7234 0.2500
0.0000 0.5000 0.5000
0.1383 0.2766 0.7500
0.5000 0.0000 0.0000
0.0000 0.0000 0.5000
0.3333 0.6667 0.2500
0.6667 0.3333 0.7500
0.0000 0.0000 0.0000
0.3333 0.6667 0.6389
0.6667 0.3333 0.1389
0.6667 0.3333 0.3611
0.3333 0.6667 0.8611
```

Calculated values
As for the energy relative to the elements, uncorrected: -0.427 eV/atom. The value obtained for the volume is 15.23 Å³/atom. The value obtained for the offset from the most stable computed form is 0.000 eV per atom.

=====

# 8
Material: DySi2Ni2
Method: DFT, PBE
State: optimized geometry

```
DySi2Ni2
1.0
-1.7429 -5.2414 -0.1647
0.0330 -2.9762 4.6560
-1.7601 4.9607 -1.6826
Ni Dy Si
2 1 2
Direct
0.2500 0.7500 0.5000
0.7500 0.2500 0.5000
0.0000 0.0000 0.0000
0.6269 0.6269 0.0000
0.3731 0.3731 0.0000
```

Calculated values
As for the energy relative to the elements, uncorrected: -0.858 eV/atom. The value obtained for the volume is 15.01 Å³/atom.

=====

Question: What is the formula in the fifth record?
Answer: Dy2Si3Ni2

=====

Question: Which value of energy relative to the elements, uncorrected does entry 1 give?
Answer: -0.579 eV/atom

=====

What did the third record say?
Material: DySi2Ni2
Method: DFT, PBE
State: optimized geometry

```
DySi2Ni2
1.0
-1.2534 -2.7239 2.5112
-2.3085 -1.4992 -2.7785
3.6510 -2.9893 -1.4203
Ni Si Dy
2 2 1
Direct
0.0000 0.5000 0.5000
0.5000 0.0000 0.5000
0.5000 0.5000 0.7594
0.5000 0.5000 0.2406
0.0000 0.0000 0.0000
```

Calculated values
As for the energy relative to the elements, uncorrected: -0.787 eV/atom. The value obtained for the volume is 15.08 Å³/atom.

=====

Question: What is the volume in the sixth record?
Answer: 13.18 Å³/atom